# PBE-GGA Tm5Tl4Rh2, optimized geometry
# - Size of the total moment: 0.0000 μB per atom
# - Calculated formation energy: -606 kJ/mol of formula units
data_Tm5Tl4Rh2
_chemical_formula_sum 'Tm10 Tl8 Rh4'
_cell_length_a 8.0023
_cell_length_b 18.1568
_cell_length_c 3.6166
_cell_angle_alpha 90.00
_cell_angle_beta 90.00
_cell_angle_gamma 90.00
_symmetry_space_group_name_H-M 'P b a m'
_symmetry_Int_Tables_number 55
_symmetry_space_group_name_Hall '-P 2 2ab'
loop_
_atom_site_label
_atom_site_fract_x
_atom_site_fract_y
_atom_site_fract_z
_atom_site_occupancy
Tm1 0.0000 0.0000 0.0000 1
Tm2 0.1139 0.4102 0.0000 1
Tm3 0.2463 0.2204 0.0000 1
Tl1 0.0754 0.8516 0.5000 1
Tl2 0.2062 0.5640 0.5000 1
Rh1 0.0244 0.3040 0.5000 1



# PBE-GGA Tm5Tl4Rh, optimized geometry
# - Size of the total moment: 0.0327 μB per atom
# - Calculated formation energy: -427 kJ/mol of formula units
# - Polymorph energy (0 for the lowest one): 0.000 eV/atom
data_Tm5Tl4Rh
_chemical_formula_sum 'Tm5 Tl4 Rh1'
_cell_length_a 3.4779
_cell_length_b 3.4779
_cell_length_c 20.6086
_cell_angle_alpha 90.00
_cell_angle_beta 90.00
_cell_angle_gamma 90.00
_symmetry_space_group_name_H-M 'P 4/m m m'
_symmetry_Int_Tables_number 123
_symmetry_space_group_name_Hall '-P 4 2'
loop_
_atom_site_label
_atom_site_fract_x
_atom_site_fract_y
_atom_site_fract_z
_atom_site_occupancy
Tm1 0.0000 0.0000 0.0000 1
Tm2 0.0000 0.0000 0.2084 1
Tm3 0.0000 0.0000 0.4204 1
Tl1 0.5000 0.5000 0.1039 1
Tl2 0.5000 0.5000 0.3118 1
Rh1 0.5000 0.5000 0.5000 1



# PBE-GGA Tm2TlRh, optimized geometry
# - Size of the total moment: 0.0000 μB per atom
# - Calculated formation energy: -201 kJ/mol of formula units
# - Polymorph energy (0 for the lowest one): 0.133 eV/atom
data_Tm2TlRh
_chemical_formula_sum 'Tm6 Tl3 Rh3'
_cell_length_a 3.8496
_cell_length_b 3.8496
_cell_length_c 24.3819
_cell_angle_alpha 90.00
_cell_angle_beta 90.00
_cell_angle_gamma 120.00
_symmetry_space_group_name_H-M 'R 3 m'
_symmetry_Int_Tables_number 160
_symmetry_space_group_name_Hall 'R 3 -2"'
loop_
_atom_site_label
_atom_site_fract_x
_atom_site_fract_y
_atom_site_fract_z
_atom_site_occupancy
Tm1 0.0000 0.0000 0.0000 1
Tm2 0.0000 0.0000 0.2038 1
Tl1 0.0000 0.0000 0.7690 1
Rh1 0.0000 0.0000 0.6026 1



# PBE-GGA Tm11Tl9Rh4, optimized geometry
# - Size of the total moment: 0.0000 μB per atom
# - Calculated formation energy: -1278 kJ/mol of formula units
data_Tm11Tl9Rh4
_chemical_formula_sum 'Tm22 Tl18 Rh8'
_cell_length_a 14.5473
_cell_length_b 21.7924
_cell_length_c 3.6541
_cell_angle_alpha 90.00
_cell_angle_beta 90.00
_cell_angle_gamma 90.00
_symmetry_space_group_name_H-M 'C m m m'
_symmetry_Int_Tables_number 65
_symmetry_space_group_name_Hall '-C 2 2'
loop_
_atom_site_label
_atom_site_fract_x
_atom_site_fract_y
_atom_site_fract_z
_atom_site_occupancy
Tm1 0.0000 0.0000 0.0000 1
Tm2 0.0000 0.1624 0.0000 1
Tm3 0.0000 0.3739 0.0000 1
Tm4 0.1880 0.5000 0.0000 1
Tm5 0.2503 0.1673 0.0000 1
Tl1 0.0000 0.5000 0.5000 1
Tl2 0.1090 0.2602 0.5000 1
Tl3 0.1430 0.0733 0.5000 1
Rh1 0.1507 0.3995 0.5000 1



# PBE-GGA Tm5Tl4Rh, optimized geometry
# - Size of the total moment: 0.0000 μB per atom
# - Calculated formation energy: -261 kJ/mol of formula units
# - Polymorph energy (0 for the lowest one): 0.172 eV/atom
data_Tm5Tl4Rh
_chemical_formula_sum 'Tm10 Tl8 Rh2'
_cell_length_a 9.9278
_cell_length_b 9.9278
_cell_length_c 5.6513
_cell_angle_alpha 90.00
_cell_angle_beta 90.00
_cell_angle_gamma 90.00
_symmetry_space_group_name_H-M 'I 4/m'
_symmetry_Int_Tables_number 87
_symmetry_space_group_name_Hall '-I 4'
loop_
_atom_site_label
_atom_site_fract_x
_atom_site_fract_y
_atom_site_fract_z
_atom_site_occupancy
Tm1 0.0000 0.0000 0.0000 1
Tm2 0.1369 0.2253 0.5000 1
Tl1 0.0435 0.3408 0.0000 1
Rh1 0.0000 0.0000 0.5000 1



# PBE-GGA Tm2TlRh, optimized geometry
# - Size of the total moment: 0.0000 μB per atom
# - Calculated formation energy: -209 kJ/mol of formula units
# - Polymorph energy (0 for the lowest one): 0.113 eV/atom
data_Tm2TlRh
_chemical_formula_sum 'Tm6 Tl3 Rh3'
_cell_length_a 3.7683
_cell_length_b 3.7683
_cell_length_c 24.9849
_cell_angle_alpha 90.00
_cell_angle_beta 90.00
_cell_angle_gamma 120.00
_symmetry_space_group_name_H-M 'R -3 m'
_symmetry_Int_Tables_number 166
_symmetry_space_group_name_Hall '-R 3 2"'
loop_
_atom_site_label
_atom_site_fract_x
_atom_site_fract_y
_atom_site_fract_z
_atom_site_occupancy
Tm1 0.0000 0.0000 0.2327 1
Tl1 0.0000 0.0000 0.0000 1
Rh1 0.0000 0.0000 0.5000 1



# PBE-GGA Tm2TlRh, optimized geometry
# - Size of the total moment: 0.0000 μB per atom
# - Calculated formation energy: -203 kJ/mol of formula units
# - Polymorph energy (0 for the lowest one): 0.126 eV/atom
data_Tm2TlRh
_chemical_formula_sum 'Tm8 Tl4 Rh4'
_cell_length_a 7.1358
_cell_length_b 7.1358
_cell_length_c 7.1358
_cell_angle_alpha 90.00
_cell_angle_beta 90.00
_cell_angle_gamma 90.00
_symmetry_space_group_name_H-M 'F m -3 m'
_symmetry_Int_Tables_number 225
_symmetry_space_group_name_Hall '-F 4 2 3'
loop_
_atom_site_label
_atom_site_fract_x
_atom_site_fract_y
_atom_site_fract_z
_atom_site_occupancy
Tm1 0.2500 0.2500 0.2500 1
Tl1 0.0000 0.0000 0.0000 1
Rh1 0.0000 0.0000 0.5000 1



# PBE-GGA Tm4TlRh, optimized geometry
# - Size of the total moment: 0.0000 μB per atom
# - Calculated formation energy: -306 kJ/mol of formula units
# - Polymorph energy (0 for the lowest one): 0.000 eV/atom
data_Tm4TlRh
_chemical_formula_sum 'Tm64 Tl16 Rh16'
_cell_length_a 13.4918
_cell_length_b 13.4918
_cell_length_c 13.4918
_cell_angle_alpha 90.00
_cell_angle_beta 90.00
_cell_angle_gamma 90.00
_symmetry_space_group_name_H-M 'F -4 3 m'
_symmetry_Int_Tables_number 216
_symmetry_space_group_name_Hall 'F -4 2 3'
loop_
_atom_site_label
_atom_site_fract_x
_atom_site_fract_y
_atom_site_fract_z
_atom_site_occupancy
Tm1 0.0000 0.0000 0.1888 1
Tm2 0.0609 0.2500 0.2500 1
Tm3 0.1500 0.1500 0.6500 1
Tl1 0.0863 0.0863 0.4137 1
Rh1 0.1426 0.1426 0.8574 1



no.,energy (eV per atom)
1,-4.800
2,-4.360
3,-5.185
4,-4.714
5,-4.188
6,-5.206
7,-5.192
8,-5.130